No. 1
VASP calculation (PBE) on an optimized crystal structure of ErNiSb.

E: -5.457 eV/atom
symmetry: P-62m, No. 189
density: 9.606 g/cm³

a b c (Å): 6.9757 6.9757 4.2792
angles (deg): 90.00 90.00 120.00
Last column: nearest neighbours and their distance in Å.
Element x y z (fractional)
Er  0.0000  0.5731  0.0000  5 Sb 2.98, 2 Ni 3.12
Er  0.4269  0.4269  0.0000  5 Sb 2.98, 2 Ni 3.12
Er  0.5731  0.0000  0.0000  5 Sb 2.98, 2 Ni 3.12
Ni  0.0000  0.2472  0.5000  4 Sb 2.68-2.75, 2 Ni 2.99
Ni  0.2472  0.0000  0.5000  4 Sb 2.68-2.75, 2 Ni 2.99
Ni  0.7528  0.7528  0.5000  4 Sb 2.68-2.75, 2 Ni 2.99
Sb  0.0000  0.0000  0.0000  6 Ni 2.75, 3 Er 2.98
Sb  0.3333  0.6667  0.5000  3 Ni 2.68, 6 Er 2.98
Sb  0.6667  0.3333  0.5000  3 Ni 2.68, 6 Er 2.98


No. 2
VASP calculation (PBE) on an optimized crystal structure of ErScNi4.

E: -6.025 eV/atom
symmetry: F-43m, No. 216
density: 8.711 g/cm³

a b c (Å): 4.9394 4.9394 4.9394
angles (deg): 60.00 60.00 60.00
Last column: nearest neighbours and their distance in Å.
Element x y z (fractional)
Er  0.0000  0.0000  0.0000  12 Ni 2.90, 4 Sc 3.02
Sc  0.7500  0.7500  0.7500  12 Ni 2.89, 4 Er 3.02
Ni  0.3755  0.3755  0.3755  6 Ni 2.46-2.48
Ni  0.3755  0.3755  0.8734  6 Ni 2.46-2.48
Ni  0.3755  0.8734  0.3755  6 Ni 2.46-2.48
Ni  0.8734  0.3755  0.3755  6 Ni 2.46-2.48


No. 3
VASP calculation (PBE) on an optimized crystal structure of Er3Sc3NiTe2.

E: -5.665 eV/atom
symmetry: P-62m, No. 189
density: 7.372 g/cm³
E above lowest polymorph: 0.0 kJ per mole of atoms

a b c (Å): 7.9671 7.9671 3.8947
angles (deg): 90.00 90.00 120.00
Last column: nearest neighbours and their distance in Å.
Element x y z (fractional)
Er  0.0000  0.3915  0.0000  1 Ni 3.12, 4 Te 3.14, 4 Sc 3.34
Er  0.3915  0.0000  0.0000  1 Ni 3.12, 4 Te 3.14, 4 Sc 3.34
Er  0.6085  0.6085  0.0000  1 Ni 3.12, 4 Te 3.14, 4 Sc 3.34
Sc  0.0000  0.7681  0.5000  2 Ni 2.68
Sc  0.2319  0.2319  0.5000  2 Ni 2.68
Sc  0.7681  0.0000  0.5000  2 Ni 2.68
Ni  0.0000  0.0000  0.0000  6 Sc 2.68
Te  0.3333  0.6667  0.5000  6 Er 3.14, 3 Sc 3.14
Te  0.6667  0.3333  0.5000  6 Er 3.14, 3 Sc 3.14


No. 4
VASP calculation (PBE) on an optimized crystal structure of Er3Sc3NiTe2.

E: -5.589 eV/atom
symmetry: P-62m, No. 189
density: 7.362 g/cm³
E above lowest polymorph: 7.3 kJ per mole of atoms

a b c (Å): 8.1306 8.1306 3.7448
angles (deg): 90.00 90.00 120.00
Last column: nearest neighbours and their distance in Å.
Element x y z (fractional)
Er  0.0000  0.7566  0.0000  2 Ni 2.72
Er  0.2434  0.2434  0.0000  2 Ni 2.72
Er  0.7566  0.0000  0.0000  2 Ni 2.72
Sc  0.0000  0.4006  0.5000  4 Te 3.11, 1 Ni 3.26, 6 Er 3.40-3.45
Sc  0.4006  0.0000  0.5000  4 Te 3.11, 1 Ni 3.26, 6 Er 3.40-3.45
Sc  0.5994  0.5994  0.5000  4 Te 3.11, 1 Ni 3.26, 6 Er 3.40-3.45
Ni  0.0000  0.0000  0.5000  6 Er 2.72
Te  0.3333  0.6667  0.0000  6 Sc 3.11, 3 Er 3.14
Te  0.6667  0.3333  0.0000  6 Sc 3.11, 3 Er 3.14